Entry 1:
The following is a DFT calculation (PBE) of an optimized crystal structure of Li3Zn2F7.

For the uncorrected formation energy, the calculation gives -2.6122 eV/atom.

The space group is Cmc2_1 (No. 36) and the conventional cell measures 18.450, 5.273 and 5.299 Å, with angles of 90.00, 90.00 and 90.00 degrees. The distinct sites, in fractional coordinates, are Li at (0.000, 0.240, 0.000), Li at (0.204, 0.284, 0.928), Zn at (0.105, 0.247, 0.470), F at (0.000, 0.115, 0.376), F at (0.075, 0.414, 0.801), F at (0.137, 0.087, 0.141) and F at (0.208, 0.373, 0.559).

Entry 2:
The following is a DFT calculation (PBE) of an optimized crystal structure of LiTbDyCr.

The calculated formation energy comes out at 0.17 eV per atom.

The space group is F-43m (No. 216) and the conventional cell measures 7.190, 7.190 and 7.190 Å, with angles of 90.00, 90.00 and 90.00 degrees. The distinct sites, in fractional coordinates, are Li at (0.000, 0.000, 0.000), Tb at (0.250, 0.250, 0.250), Dy at (0.250, 0.250, 0.750) and Cr at (0.000, 0.000, 0.500).

no.,raw total energy (eV per atom),size of the total moment (μB per formula unit)
1,-4.395,0.00
2,-5.019,3.12